Entry 1:
VASP calculation (SCAN) on a crystal of FeAgBr relaxed with PBEsol.

abc: 3.1756 3.1756 6.2385
angles: 90.00 90.00 120.00
Space group P3m1 (No. 156)
Inequivalent atoms, fractional coordinates:
Fe: 0.0000 0.0000 0.0000 x1
Ag: 0.6667 0.3333 0.6878 x1
Br: 0.3333 0.6667 0.2687 x1

size of the total moment = 3.32 μB per formula unit
ΔE_f (raw) = 0.2323 eV/atom

=====

Entry 2:
VASP calculation (SCAN) on a crystal of Rb2GaAgBr6 relaxed with PBEsol.

abc: 10.591 10.591 10.591
angles: 90.00 90.00 90.00
Space group Fm-3m (No. 225)
Inequivalent atoms, fractional coordinates:
Rb: 0.250 0.250 0.250 x8
Ga: 0.000 0.000 0.000 x4
Ag: 0.000 0.000 0.500 x4
Br: 0.000 0.000 0.241 x24

size of the total moment = 0.00 μB per formula unit
ΔE_f (raw) = -1.1938 eV/atom

=====

Entry 3:
VASP calculation (SCAN) on a crystal of GaAgSeBr2 relaxed with PBEsol.

abc: 5.081 5.081 4.928
angles: 90.00 90.00 90.00
Space group P4/mmm (No. 123)
Inequivalent atoms, fractional coordinates:
Ga: 0.000 0.000 0.000 x1
Ag: 0.500 0.500 0.500 x1
Se: 0.000 0.000 0.500 x1
Br: 0.000 0.500 0.000 x2

size of the total moment = 0.00 μB per formula unit
ΔE_f (raw) = -0.0213 eV/atom

=====

Entry 4:
VASP calculation (SCAN) on a crystal of NbAg2GeBr relaxed with PBEsol.

abc: 5.193 5.193 4.770
angles: 90.00 90.00 90.00
Space group P4/mmm (No. 123)
Inequivalent atoms, fractional coordinates:
Nb: 0.000 0.000 0.000 x1
Ag: 0.000 0.500 0.000 x2
Ge: 0.500 0.500 0.500 x1
Br: 0.000 0.000 0.500 x1

size of the total moment = 0.00 μB per formula unit
ΔE_f (raw) = 1.1262 eV/atom

=====

Entry 5:
VASP calculation (SCAN) on a crystal of Ag6GeS4Br2 relaxed with PBEsol.

abc: 6.446 7.706 22.247
angles: 90.00 90.00 90.00
Space group Pnma (No. 62)
Inequivalent atoms, fractional coordinates:
Ag: 0.000 0.000 0.000 x4
Ag: 0.013 0.250 0.162 x4
Ag: 0.019 0.564 0.436 x8
Ag: 0.047 0.566 0.302 x8
Ge: 0.020 0.750 0.131 x4
S: 0.171 0.008 0.876 x8
S: 0.203 0.750 0.044 x4
S: 0.216 0.750 0.213 x4
Br: 0.125 0.750 0.714 x4
Br: 0.178 0.750 0.547 x4

size of the total moment = 0.00 μB per formula unit
ΔE_f (raw) = -0.2763 eV/atom

=====

Entry 6:
VASP calculation (SCAN) on a crystal of AgH3BrN relaxed with PBEsol.

abc: 4.207 5.879 6.670
angles: 90.00 97.79 90.00
Space group P2_1/m (No. 11)
Inequivalent atoms, fractional coordinates:
Ag: 0.134 0.250 0.020 x2
H: 0.121 0.250 0.425 x2
H: 0.197 0.608 0.690 x4
Br: 0.498 0.750 0.245 x2
N: 0.055 0.750 0.698 x2

final energy = -145.93 eV/cell
size of the total moment = 0.00 μB per formula unit

=====

Entry 7:
VASP calculation (SCAN) on a crystal of HfAg3Br relaxed with PBEsol.

abc: 4.931 4.931 4.931
angles: 90.00 90.00 90.00
Space group Pm-3m (No. 221)
Inequivalent atoms, fractional coordinates:
Hf: 0.000 0.000 0.000 x1
Ag: 0.000 0.500 0.500 x3
Br: 0.500 0.500 0.500 x1

size of the total moment = 0.00 μB per formula unit
ΔE_f (raw) = 1.2945 eV/atom

=====

Entry 8:
VASP calculation (SCAN) on a crystal of Hf2AgBr relaxed with PBEsol.

abc: 6.735 6.735 6.735
angles: 90.00 90.00 90.00
Space group Fm-3m (No. 225)
Inequivalent atoms, fractional coordinates:
Hf: 0.250 0.250 0.250 x8
Ag: 0.000 0.000 0.000 x4
Br: 0.000 0.000 0.500 x4

size of the total moment = 0.00 μB per formula unit
ΔE_f (raw) = 0.1423 eV/atom

=====

Entry 9:
VASP calculation (SCAN) on a crystal of HfAgPtBr2 relaxed with PBEsol.

abc: 5.088 5.088 5.059
angles: 90.00 90.00 90.00
Space group P4/mmm (No. 123)
Inequivalent atoms, fractional coordinates:
Hf: 0.000 0.000 0.000 x1
Ag: 0.500 0.500 0.500 x1
Pt: 0.000 0.000 0.500 x1
Br: 0.000 0.500 0.000 x2

size of the total moment = 0.00 μB per formula unit
ΔE_f (raw) = -0.0466 eV/atom

=====

Entry 10:
VASP calculation (SCAN) on a crystal of AgHgBr relaxed with PBEsol.

abc: 4.152 5.681 11.846
angles: 90.00 90.00 90.00
Space group Fmm2 (No. 42)
Inequivalent atoms, fractional coordinates:
Ag: 0.000 0.000 0.000 x4
Hg: 0.000 0.000 0.341 x4
Br: 0.000 0.000 0.648 x4

size of the total moment = 0.00 μB per formula unit
ΔE_f (raw) = -0.1305 eV/atom

=====

Entry 11:
VASP calculation (SCAN) on a crystal of Ag2Hg2Br relaxed with PBEsol.

abc: 4.069 4.069 13.587
angles: 90.00 90.00 90.00
Space group I4/mmm (No. 139)
Inequivalent atoms, fractional coordinates:
Ag: 0.000 0.000 0.100 x4
Hg: 0.000 0.500 0.250 x4
Br: 0.000 0.000 0.500 x2

size of the total moment = 0.00 μB per formula unit
ΔE_f (raw) = 0.0237 eV/atom

=====

Entry 12:
VASP calculation (SCAN) on a crystal of AgHgBr relaxed with PBEsol.

abc: 3.7690 3.7690 5.7906
angles: 90.00 90.00 120.00
Space group P3m1 (No. 156)
Inequivalent atoms, fractional coordinates:
Ag: 0.0000 0.0000 0.0000 x1
Hg: 0.6667 0.3333 0.3098 x1
Br: 0.3333 0.6667 0.7031 x1

size of the total moment = 0.00 μB per formula unit
ΔE_f (raw) = -0.2321 eV/atom